Be2CuPt3 after structural relaxation, computed with PBE.

Properties
ΔE_f ... -3.6 eV per formula unit
Energy ... -33.301 eV/cell

Lattice parameters (Å, degrees): 2.8045 2.8045 9.4277 90.00 90.00 90.00
Atoms (fractional coordinates):
Be1 0.0000 0.0000 0.1595
Be2 0.0000 0.0000 0.8405
Cu1 0.0000 0.0000 0.5000
Pt1 0.5000 0.5000 0.0000
Pt2 0.5000 0.5000 0.3052
Pt3 0.5000 0.5000 0.6948